A plane-wave DFT calculation with PBE was carried out for a geometry-optimized CsRbBi2Pt structure.

Results
DFT formation energy	-348	meV/atom
space group	Pmma, No. 51

a b c (Å): 7.100 7.524 7.971
angles (deg): 90.00 90.00 90.00
Element x y z (fractional)
Cs 0.250 0.000 0.214
Cs 0.750 0.000 0.786
Rb 0.250 0.500 0.354
Rb 0.750 0.500 0.646
Bi 0.250 0.298 0.811
Bi 0.250 0.702 0.811
Bi 0.750 0.298 0.189
Bi 0.750 0.702 0.189
Pt 0.000 0.500 0.000
Pt 0.500 0.500 0.000